Record 1
PrGaAg2 (PBE-GGA, optimized geometry); energy above the most stable polymorph in this dataset = 21 meV per atom; V = 89.7 Å³/f.u.; space-group type = Cmcm (63); energy = -0.136 Ha/atom; energy of formation from the pure elements = -316 meV per atom
1.0
-2.717 -0.543 -2.710
-0.387 -4.368 1.263
-5.827 2.843 8.045
Ga Ag Pr
2 4 2
direct
0.833 0.750 0.666
0.167 0.250 0.334
0.963 0.750 0.925
0.242 0.750 0.484
0.758 0.250 0.516
0.037 0.250 0.075
0.394 0.250 0.788
0.606 0.750 0.212


Record 2
Pr6GaAg (PBE-GGA, optimized geometry); V = 251.0 Å³/f.u.; space-group type = I4/mmm (139); energy = -0.166 Ha/atom; energy of formation from the pure elements = -184 meV per atom
1.0
0.041 -1.786 4.976
-3.239 -3.942 -1.388
5.497 -8.025 -0.111
Pr Ga Ag
6 1 1
direct
0.895 0.395 0.210
0.105 0.605 0.790
0.253 0.252 0.495
0.747 0.748 0.505
0.395 0.895 0.210
0.605 0.105 0.790
0.500 0.500 0.000
0.000 0.000 0.000


Record 3
PrGaAg2 (PBE-GGA, optimized geometry); energy above the most stable polymorph in this dataset = 63 meV per atom; V = 86.8 Å³/f.u.; space-group type = Fm-3m (225); energy = -0.134 Ha/atom; energy of formation from the pure elements = -274 meV per atom
1.0
4.970 0.000 0.000
2.485 4.305 0.000
2.485 1.435 4.058
Pr Ag Ga
1 2 1
direct
0.000 0.000 0.000
0.750 0.750 0.750
0.250 0.250 0.250
0.500 0.500 0.500


Record 4
PrGa2Ag2 (PBE-GGA, optimized geometry); V = 105.0 Å³/f.u.; space-group type = I4/mmm (139); energy = -0.136 Ha/atom; energy of formation from the pure elements = -397 meV per atom
1.0
4.115 0.000 -1.654
-0.664 4.061 -1.654
0.096 0.113 6.187
Ag Ga Pr
2 2 1
direct
0.750 0.750 0.000
0.250 0.250 0.000
0.885 0.385 0.271
0.115 0.615 0.729
0.500 0.000 0.500


Record 5
Pr2GaAg6 (PBE-GGA, optimized geometry); V = 196.0 Å³/f.u.; space-group type = C2/m (12); energy = -0.129 Ha/atom; energy of formation from the pure elements = -208 meV per atom
1.0
-5.458 -2.615 0.923
1.263 -4.153 -4.260
2.746 -5.204 1.539
Ag Ga Pr
6 1 2
direct
0.674 0.177 0.177
0.675 0.177 0.647
0.326 0.823 0.823
0.675 0.647 0.177
0.325 0.353 0.823
0.325 0.823 0.353
0.000 0.000 0.000
0.850 0.667 0.667
0.150 0.333 0.333


Record 6
PrGaAg (PBE-GGA, optimized geometry); V = 70.2 Å³/f.u.; space-group type = C2/m (12); energy = -0.148 Ha/atom; energy of formation from the pure elements = -466 meV per atom
1.0
4.344 0.000 1.802
2.060 5.585 1.172
0.124 -0.085 5.837
Ag Pr Ga
2 2 2
direct
0.826 0.224 0.124
0.174 0.776 0.876
0.468 0.791 0.274
0.532 0.209 0.726
0.842 0.612 0.703
0.158 0.388 0.297


Record 7
Pr2Ga3Ag (PBE-GGA, optimized geometry); energy above the most stable polymorph in this dataset = 0 meV per atom; V = 139.9 Å³/f.u.; space-group type = Fmmm (69); energy = -0.153 Ha/atom; energy of formation from the pure elements = -569 meV per atom
1.0
5.986 -0.330 0.000
-0.562 5.969 0.000
-2.712 -2.819 7.873
Pr Ga Ag
4 6 2
direct
0.258 0.258 0.000
0.750 0.250 0.500
0.250 0.750 0.500
0.742 0.742 0.000
0.673 0.162 0.835
0.163 0.163 0.325
0.327 0.838 0.165
0.162 0.673 0.835
0.837 0.837 0.675
0.838 0.327 0.165
0.331 0.331 0.663
0.669 0.669 0.337


Record 8
PrGaAg (PBE-GGA, optimized geometry); V = 78.4 Å³/f.u.; space-group type = F-43m (216); energy = -0.140 Ha/atom; energy of formation from the pure elements = -249 meV per atom
1.0
-2.520 -3.498 -2.119
2.260 -3.842 -1.791
-0.455 -4.272 2.149
Ag Ga Pr
1 1 1
direct
0.250 0.250 0.250
0.000 0.000 0.000
0.500 0.500 0.500


Record 9
Pr2GaAg3 (PBE-GGA, optimized geometry); energy above the most stable polymorph in this dataset = 66 meV per atom; V = 150.7 Å³/f.u.; space-group type = Imm2 (44); energy = -0.140 Ha/atom; energy of formation from the pure elements = -279 meV per atom
1.0
3.931 0.000 -1.046
-0.315 4.160 -1.182
0.299 0.330 9.033
Ag Ga Pr
3 1 2
direct
0.538 0.538 0.077
0.304 0.804 0.608
0.699 0.699 0.398
0.459 0.959 0.918
0.121 0.121 0.241
0.879 0.379 0.758


Record 10
Pr2GaAg3 (PBE-GGA, optimized geometry); energy above the most stable polymorph in this dataset = 0 meV per atom; V = 142.6 Å³/f.u.; space-group type = Fmmm (69); energy = -0.142 Ha/atom; energy of formation from the pure elements = -345 meV per atom
1.0
5.888 1.014 0.000
0.649 5.939 0.000
-3.269 -3.477 8.311
Pr Ag Ga
4 6 2
direct
0.756 0.244 0.000
0.750 0.250 0.500
0.250 0.750 0.500
0.244 0.756 0.000
0.659 0.659 0.831
0.341 0.341 0.169
0.172 0.172 0.831
0.828 0.828 0.169
0.170 0.170 0.340
0.830 0.830 0.660
0.333 0.333 0.667
0.667 0.667 0.333


Record 11
Pr3GaAg (PBE-GGA, optimized geometry); energy above the most stable polymorph in this dataset = 75 meV per atom; V = 143.0 Å³/f.u.; space-group type = C2/c (15); energy = -0.157 Ha/atom; energy of formation from the pure elements = -223 meV per atom
1.0
9.391 0.680 1.870
5.192 7.855 1.870
7.456 4.364 10.054
Pr Ga Ag
12 4 4
direct
0.407 0.219 0.376
0.354 0.705 0.083
0.190 0.148 0.777
0.646 0.295 0.917
0.219 0.407 0.876
0.810 0.852 0.223
0.593 0.781 0.624
0.705 0.354 0.583
0.781 0.593 0.124
0.148 0.190 0.277
0.852 0.810 0.723
0.295 0.646 0.417
0.644 0.194 0.485
0.356 0.806 0.515
0.806 0.356 0.015
0.194 0.644 0.985
0.500 0.000 0.000
0.952 0.048 0.250
0.048 0.952 0.750
0.000 0.500 0.500


Record 12
Pr2GaAg (PBE-GGA, optimized geometry); V = 115.2 Å³/f.u.; space-group type = R-3m (166); energy = -0.149 Ha/atom; energy of formation from the pure elements = -200 meV per atom
1.0
3.838 0.000 0.000
1.919 3.324 0.000
1.919 1.108 9.033
Ga Pr Ag
1 2 1
direct
0.000 0.000 0.000
0.746 0.746 0.761
0.254 0.254 0.239
0.500 0.500 0.500


Record 13
Pr4Ga2Ag5 (PBE-GGA, optimized geometry); V = 276.0 Å³/f.u.; space-group type = P2/m (10); energy = -0.143 Ha/atom; energy of formation from the pure elements = -304 meV per atom
1.0
4.316 0.000 0.000
0.000 7.344 0.047
0.000 -0.651 8.702
Ag Pr Ga
5 4 2
direct
0.000 0.853 0.867
0.000 0.553 0.335
0.000 0.500 0.000
0.000 0.447 0.665
0.000 0.147 0.133
0.500 0.211 0.869
0.500 0.789 0.131
0.500 0.243 0.410
0.500 0.757 0.590
0.000 0.922 0.366
0.000 0.078 0.634


Record 14
Pr8GaAg2 (PBE-GGA, optimized geometry); energy above the most stable polymorph in this dataset = 0 meV per atom; V = 342.5 Å³/f.u.; space-group type = C2/m (12); energy = -0.163 Ha/atom; energy of formation from the pure elements = -158 meV per atom
1.0
5.319 0.000 0.000
0.000 7.339 0.031
-2.660 -3.108 8.762
Ga Ag Pr
1 2 8
direct
0.500 0.000 0.000
0.178 0.714 0.356
0.822 0.286 0.644
0.410 0.541 0.820
0.332 0.020 0.664
0.590 0.459 0.180
0.977 0.222 0.953
0.668 0.980 0.336
0.196 0.317 0.391
0.804 0.683 0.609
0.023 0.778 0.047


Record 15
PrGa2Ag10 (PBE-GGA, optimized geometry); V = 248.9 Å³/f.u.; space-group type = Fmmm (69); energy = -0.114 Ha/atom; energy of formation from the pure elements = -84 meV per atom
1.0
5.434 0.000 0.000
2.717 6.687 0.000
2.717 0.000 6.849
Ag Ga Pr
10 2 1
direct
0.496 0.220 0.789
0.995 0.355 0.655
0.005 0.645 0.345
0.350 0.645 0.655
0.715 0.780 0.789
0.500 0.000 0.500
0.285 0.220 0.211
0.504 0.780 0.211
0.000 0.000 0.500
0.650 0.355 0.345
0.000 0.500 0.000
0.500 0.500 0.000
0.000 0.000 0.000


Record 16
PrGa2Ag (PBE-GGA, optimized geometry); energy above the most stable polymorph in this dataset = 0 meV per atom; V = 84.8 Å³/f.u.; space-group type = Cmcm (63); energy = -0.144 Ha/atom; energy of formation from the pure elements = -485 meV per atom
1.0
4.739 0.000 0.000
0.000 6.727 0.000
0.000 0.000 10.637
Pr Ga Ag
4 8 4
direct
0.750 0.250 0.355
0.250 0.250 0.855
0.750 0.750 0.145
0.250 0.750 0.645
0.250 0.446 0.134
0.750 0.054 0.634
0.250 0.554 0.366
0.250 0.946 0.366
0.750 0.446 0.634
0.750 0.554 0.866
0.250 0.054 0.134
0.750 0.946 0.866
0.750 0.250 0.055
0.250 0.250 0.555
0.750 0.750 0.445
0.250 0.750 0.945


Record 17
PrGa2Ag6 (PBE-GGA, optimized geometry); energy above the most stable polymorph in this dataset = 208 meV per atom; V = 186.6 Å³/f.u.; space-group type = C2/m (12); energy = -0.114 Ha/atom; energy of formation from the pure elements = 6 meV per atom
1.0
3.307 0.000 0.000
1.657 7.728 1.493
1.657 1.830 7.655
Ag Pr Ga
6 1 2
direct
0.500 0.664 0.336
0.681 0.986 0.652
0.319 0.348 0.014
0.319 0.014 0.348
0.500 0.336 0.664
0.681 0.652 0.986
0.000 0.000 0.000
0.148 0.357 0.357
0.852 0.643 0.643


Record 18
Pr2GaAg (PBE-GGA, optimized geometry); V = 105.6 Å³/f.u.; space-group type = P4/mmm (123); energy = -0.157 Ha/atom; energy of formation from the pure elements = -401 meV per atom
1.0
3.697 0.000 0.000
0.000 3.697 0.000
0.000 0.000 7.724
Pr Ag Ga
2 1 1
direct
0.000 0.000 0.242
0.000 0.000 0.758
0.500 0.500 0.500
0.500 0.500 0.000


Record 19
PrGa3Ag3 (PBE-GGA, optimized geometry); energy above the most stable polymorph in this dataset = 0 meV per atom; V = 140.8 Å³/f.u.; space-group type = P2_1/m (11); energy = -0.127 Ha/atom; energy of formation from the pure elements = -259 meV per atom
1.0
4.360 0.000 0.000
0.000 5.546 -3.620
0.000 1.575 10.620
Ga Ag Pr
6 6 2
direct
0.250 0.471 0.889
0.750 0.821 0.626
0.250 0.179 0.374
0.250 0.086 0.684
0.750 0.529 0.111
0.750 0.914 0.316
0.250 0.203 0.050
0.250 0.823 0.130
0.750 0.797 0.950
0.750 0.177 0.870
0.250 0.757 0.769
0.750 0.243 0.231
0.750 0.329 0.599
0.250 0.671 0.401


Record 20
Pr6GaAg2 (PBE-GGA, optimized geometry); V = 273.5 Å³/f.u.; space-group type = Immm (71); energy = -0.160 Ha/atom; energy of formation from the pure elements = -189 meV per atom
1.0
8.918 0.251 0.164
-3.147 8.349 -0.164
-2.946 -4.260 7.267
Pr Ga Ag
12 2 4
direct
0.804 0.749 0.553
0.271 0.942 0.671
0.196 0.749 0.945
0.914 0.738 0.176
0.439 0.262 0.176
0.729 0.058 0.329
0.086 0.262 0.824
0.271 0.599 0.329
0.804 0.251 0.055
0.729 0.401 0.671
0.561 0.738 0.824
0.196 0.251 0.447
0.000 0.000 0.000
0.000 0.500 0.500
0.500 0.365 0.865
0.639 0.000 0.639
0.500 0.635 0.135
0.361 0.000 0.361


Record 21
Pr6GaAg3 (PBE-GGA, optimized geometry); V = 287.3 Å³/f.u.; space-group type = P2_1/m (11); energy = -0.156 Ha/atom; energy of formation from the pure elements = -219 meV per atom
1.0
-0.485 -0.861 5.110
7.026 -6.342 -0.402
5.492 10.469 2.285
Pr Ga Ag
12 2 6
direct
0.250 0.510 0.106
0.750 0.134 0.648
0.250 0.119 0.156
0.750 0.490 0.894
0.250 0.132 0.880
0.250 0.660 0.698
0.250 0.866 0.352
0.750 0.881 0.844
0.750 0.340 0.302
0.750 0.868 0.120
0.750 0.734 0.509
0.250 0.266 0.491
0.750 0.052 0.377
0.250 0.948 0.623
0.250 0.365 0.754
0.250 0.536 0.372
0.250 0.773 0.969
0.750 0.227 0.031
0.750 0.464 0.628
0.750 0.635 0.246


Record 22
Pr3Ga9Ag2 (PBE-GGA, optimized geometry); V = 287.6 Å³/f.u.; space-group type = Immm (71); energy = -0.142 Ha/atom; energy of formation from the pure elements = -490 meV per atom
1.0
-3.807 0.790 -1.995
-5.216 -6.165 2.724
-4.965 3.401 6.035
Ag Ga Pr
2 9 3
direct
0.500 0.277 0.723
0.500 0.723 0.277
0.861 0.868 0.410
0.668 0.705 0.959
0.139 0.590 0.132
0.332 0.041 0.295
0.861 0.410 0.868
0.668 0.959 0.705
0.000 0.500 0.500
0.332 0.295 0.041
0.139 0.132 0.590
0.682 0.318 0.318
0.318 0.682 0.682
0.000 0.000 0.000